Below is an optimized crystal structure of Na2Tl2In7, with properties calculated at the PBE level.

Calculated values
Symmetry ... C2/m
DFT total energy ... -26.60 eV per cell
M_tot ... 0.0 μB per formula unit
Energy of formation ... -0.01 eV per atom
Energy relative to the lowest polymorph listed for this composition ... 3.2 meV/atom

The structure in CIF format:
```
data_Na2Tl2In7
_chemical_formula_sum 'Na2 Tl2 In7'
_cell_length_a 7.460
_cell_length_b 7.460
_cell_length_c 6.101
_cell_angle_alpha 105.22
_cell_angle_beta 105.22
_cell_angle_gamma 94.58
_space_group_name_H-M_alt 'P 1'
_space_group_IT_number 1
_space_group_name_Hall 'P 1'
loop_
_atom_site_label
_atom_site_type_symbol
_atom_site_fract_x
_atom_site_fract_y
_atom_site_fract_z
Na1 Na 0.233 0.767 0.000
Na2 Na 0.767 0.233 0.000
Tl1 Tl 0.219 0.219 0.054
Tl2 Tl 0.781 0.781 0.946
In1 In 0.000 0.000 0.500
In2 In 0.097 0.580 0.355
In3 In 0.409 0.409 0.691
In4 In 0.420 0.903 0.645
In5 In 0.580 0.097 0.355
In6 In 0.591 0.591 0.309
In7 In 0.903 0.420 0.645
```